Record 1
Entry from the Alexandria database: PmY2In3 after structural relaxation (PBE).

Cell: 16.0646 6.4829 6.5511 Å, 90.00 103.34 90.00°
Space group C2/c (No. 15)
Asymmetric unit:
Pm (0.0000, 0.1272, 0.2500) (multiplicity 4)
Y (0.1696, 0.3833, 0.5854) (multiplicity 8)
In (0.0000, 0.3729, 0.7500) (multiplicity 4)
In (0.1674, 0.1214, 0.0499) (multiplicity 8)

The total energy is -4.76 eV per atom. The offset from the most stable computed form comes out at 0.058 eV per atom. Its formation enthalpy at 0 K is -2.7 eV per formula unit.



Record 2
Entry from the Alexandria database: ScHgRh2 after structural relaxation (PBE).

Cell: 3.0730 3.0730 25.8076 Å, 90.00 90.00 120.00°
Space group R-3m (No. 166, hexagonal axes)
Asymmetric unit:
Sc (0.0000, 0.0000, 0.0000) (multiplicity 3)
Hg (0.0000, 0.0000, 0.5000) (multiplicity 3)
Rh (0.0000, 0.0000, 0.2557) (multiplicity 6)

The total energy is -5.59 eV per atom. Its formation enthalpy at 0 K is -1.0 eV per formula unit.



Record 3
Entry from the Alexandria database: MgAuCl2 after structural relaxation (PBE).

Cell: 5.8678 3.3850 10.7277 Å, 90.00 95.20 90.00°
Space group C2/m (No. 12)
Asymmetric unit:
Mg (0.0000, 0.0000, 0.0000) (multiplicity 2)
Au (0.0000, 0.5000, 0.5000) (multiplicity 2)
Cl (0.1897, 0.5000, 0.1382) (multiplicity 4)

The uncorrected formation energy comes out at -3.93 eV/f.u. The total energy is -3.12 eV per atom. The offset from the most stable computed form comes out at 0.007 eV per atom.



Record 4
Entry from the Alexandria database: PuUMo after structural relaxation (PBE).

Cell: 4.5619 4.5619 3.2068 Å, 90.00 90.00 120.00°
Space group P3m1 (No. 156)
Asymmetric unit:
Pu (0.0000, 0.0000, 0.0000) (multiplicity 1)
U (0.3333, 0.6667, 0.7918) (multiplicity 1)
Mo (0.6667, 0.3333, 0.3992) (multiplicity 1)

The total energy is -12.02 eV per atom. The offset from the most stable computed form comes out at 0.012 eV per atom. Its formation enthalpy at 0 K is 0.4 eV per formula unit.



Record 5
Entry from the Alexandria database: NbFe2H8 after structural relaxation (PBE).

Cell: 4.0394 4.0394 4.1027 Å, 90.00 90.00 90.00°
Space group P4/mmm (No. 123)
Asymmetric unit:
Nb (0.0000, 0.0000, 0.0000) (multiplicity 1)
Fe (0.0000, 0.5000, 0.5000) (multiplicity 2)
H (0.2818, 0.2818, 0.2709) (multiplicity 8)

The total energy is -4.86 eV per atom.



Record 6
Entry from the Alexandria database: Tb2NdPbC after structural relaxation (PBE).

Cell: 4.9596 4.9596 5.1296 Å, 90.00 90.00 90.00°
Space group P4/mmm (No. 123)
Asymmetric unit:
Tb (0.0000, 0.5000, 0.0000) (multiplicity 2)
Nd (0.0000, 0.0000, 0.5000) (multiplicity 1)
Pb (0.5000, 0.5000, 0.5000) (multiplicity 1)
C (0.0000, 0.0000, 0.0000) (multiplicity 1)

The total energy is -5.87 eV per atom. Its formation enthalpy at 0 K is -2.4 eV per formula unit.



Record 7
Entry from the Alexandria database: Tm5Al3 after structural relaxation (PBE).

Cell: 11.8344 11.8344 5.7117 Å, 90.00 90.00 90.00°
Space group I4/mcm (No. 140)
Asymmetric unit:
Tm (0.0000, 0.5000, 0.2500) (multiplicity 4)
Tm (0.0832, 0.2184, 0.0000) (multiplicity 16)
Al (0.0000, 0.0000, 0.2500) (multiplicity 4)
Al (0.1613, 0.3387, 0.5000) (multiplicity 8)

The total energy is -4.50 eV per atom. The offset from the most stable computed form comes out at 0.000 eV per atom. Its formation enthalpy at 0 K is -2.4 eV per formula unit.



Record 8
Entry from the Alexandria database: Ti4Co3W after structural relaxation (PBE).

Cell: 3.0562 3.0562 11.9064 Å, 90.00 90.00 90.00°
Space group P4/mmm (No. 123)
Asymmetric unit:
Ti (0.0000, 0.0000, 0.1208) (multiplicity 2)
Ti (0.0000, 0.0000, 0.3658) (multiplicity 2)
Co (0.5000, 0.5000, 0.0000) (multiplicity 1)
Co (0.5000, 0.5000, 0.2360) (multiplicity 2)
W (0.5000, 0.5000, 0.5000) (multiplicity 1)

The total energy is -8.52 eV per atom. Its formation enthalpy at 0 K is -2.3 eV per formula unit.



Record 9
Entry from the Alexandria database: Ac2CeAg after structural relaxation (PBE).

Cell: 8.0504 8.0504 8.0504 Å, 90.00 90.00 90.00°
Space group Fm-3m (No. 225)
Asymmetric unit:
Ac (0.2500, 0.2500, 0.2500) (multiplicity 8)
Ce (0.0000, 0.0000, 0.0000) (multiplicity 4)
Ag (0.0000, 0.0000, 0.5000) (multiplicity 4)

The total energy is -4.08 eV per atom. The offset from the most stable computed form comes out at 0.196 eV per atom. Its formation enthalpy at 0 K is 0.7 eV per formula unit.



Record 10
Entry from the Alexandria database: LiFeS3 after structural relaxation (PBE).

Cell: 4.4640 4.4640 4.4640 Å, 90.00 90.00 90.00°
Space group Pm-3m (No. 221)
Asymmetric unit:
Li (0.0000, 0.0000, 0.0000) (multiplicity 1)
Fe (0.5000, 0.5000, 0.5000) (multiplicity 1)
S (0.0000, 0.5000, 0.5000) (multiplicity 3)

The uncorrected formation energy comes out at 0.26 eV/f.u. The total energy is -4.50 eV per atom. The offset from the most stable computed form comes out at 0.000 eV per atom.



Record 11
Entry from the Alexandria database: BeBrOF2 after structural relaxation (PBE).

Cell: 3.2376 3.2376 6.2800 Å, 90.00 90.00 90.00°
Space group P4/mmm (No. 123)
Asymmetric unit:
Be (0.0000, 0.0000, 0.0000) (multiplicity 1)
Br (0.5000, 0.5000, 0.5000) (multiplicity 1)
O (0.0000, 0.0000, 0.5000) (multiplicity 1)
F (0.0000, 0.5000, 0.0000) (multiplicity 2)

The uncorrected formation energy comes out at -6.79 eV/f.u. The total energy is -4.18 eV per atom. The offset from the most stable computed form comes out at 0.000 eV per atom.



Record 12
Entry from the Alexandria database: La3Y2ErBi6 after structural relaxation (PBE).

Cell: 7.9639 13.7918 7.9207 Å, 90.00 109.56 90.00°
Space group C2/m (No. 12)
Asymmetric unit:
La (0.0000, 0.0000, 0.0000) (multiplicity 2)
La (0.0000, 0.3327, 0.0000) (multiplicity 4)
Y (0.0000, 0.1663, 0.5000) (multiplicity 4)
Er (0.0000, 0.5000, 0.5000) (multiplicity 2)
Bi (0.2446, 0.3341, 0.7366) (multiplicity 8)
Bi (0.2476, 0.0000, 0.7376) (multiplicity 4)

The total energy is -5.59 eV per atom. Its formation enthalpy at 0 K is -11.5 eV per formula unit.



In order of appearance, D(E_F) = 0.61 0.83 0.32 1.79 0.41 0.47 0.87 0.88 2.42 1.80 0.33 0.19 states/eV/atom.